(1)
LiNb2BTe: optimized geometry, GGA-PBE.

extended XYZ file:
```
5
Lattice="-0.169 -2.419 -3.755 3.559 -1.766 0.978 -2.199 -3.226 2.177" Properties=species:S:1:pos:R:3 pbc="T T T"
Nb -1.099 -1.613 1.089
Nb -0.084 -1.210 -1.878
Te 0.596 -3.706 -0.300
B 0.000 0.000 0.000
Li 1.780 -0.883 0.489
```

Calculated values
- Symmetry: No. 123
- Energy relative to the elements, uncorrected: 0.06 eV per atom
- Crystal system: tetragonal
- Density of states at the Fermi level: 4.83 states/eV per cell

(2)
PaBOs: optimized geometry, GGA-PBE.

extended XYZ file:
```
3
Lattice="4.055 0.000 0.000 0.000 3.754 0.000 0.000 -1.877 3.251" Properties=species:S:1:pos:R:3 pbc="T T T"
B 3.380 0.000 0.000
Pa 1.352 0.000 2.167
Os 3.379 1.877 1.084
```

Calculated values
- Symmetry: No. 187
- Crystal system: hexagonal
- Formation energy: -0.279 eV/atom
- Density of states at the Fermi level: 4.80 states/eV per cell

(3)
In4SBr3: optimized geometry, GGA-PBE.

extended XYZ file:
```
16
Lattice="-1.294 -2.327 -5.369 -3.837 -4.330 2.801 -10.714 8.721 -1.197" Properties=species:S:1:pos:R:3 pbc="T T T"
In -2.310 -2.662 1.284
In -0.850 -1.447 -2.942
In -2.750 0.283 0.107
In -7.259 -1.717 -1.284
In -9.158 0.016 1.771
In -7.696 1.233 -2.450
In -10.803 1.168 -1.680
In -9.920 6.119 -0.694
S -3.860 -4.410 2.418
S -6.145 2.983 -3.579
Br -2.827 -3.678 -1.495
Br -6.203 -1.286 1.614
Br -3.808 -0.152 -2.799
Br -7.179 2.249 0.330
Br -9.750 4.684 -3.463
Br -10.975 2.599 1.081
```

Calculated values
- Symmetry: No. 31
- Energy relative to the elements, uncorrected: -0.49 eV per atom
- Crystal system: orthorhombic
- Density of states at the Fermi level: 4.23 states/eV per cell

(4)
CdInF4: optimized geometry, GGA-PBE.

extended XYZ file:
```
24
Lattice="-0.948 3.579 -3.897 -5.399 0.094 1.399 2.198 9.144 7.865" Properties=species:S:1:pos:R:3 pbc="T T T"
Cd -2.890 9.222 9.078
Cd -2.436 6.405 2.672
Cd -0.640 10.872 6.531
Cd -0.186 8.055 0.125
In -3.611 8.736 5.270
In -3.672 5.927 -1.002
In -0.457 6.971 6.440
In -0.518 4.163 0.168
F -4.170 7.797 3.267
F -3.172 4.484 3.708
F -5.516 4.591 -0.621
F -2.124 8.496 7.013
F -4.133 5.721 1.245
F -1.859 7.336 4.719
F -2.755 10.849 5.746
F -3.240 1.408 0.880
F -1.637 8.379 1.882
F -0.645 5.085 2.303
F -2.659 3.946 -0.671
F 0.436 8.976 5.740
F -1.573 6.201 -0.028
F 0.999 6.692 4.669
F -0.227 11.450 4.341
F -0.707 1.991 -0.505
```

Calculated values
- Symmetry: No. 33
- Energy relative to the elements, uncorrected: -2.12 eV per atom
- Crystal system: orthorhombic
- Density of states at the Fermi level: 3.72 states/eV per cell

(5)
Cs4SrMg3Cl12: optimized geometry, GGA-PBE.

extended XYZ file:
```
20
Lattice="9.141 0.000 0.000 -3.047 8.619 0.000 -3.047 -4.309 7.464" Properties=species:S:1:pos:R:3 pbc="T T T"
Cs 1.524 2.155 3.732
Cs -1.524 -2.155 3.732
Cs 4.571 0.000 0.000
Cs -1.524 4.309 0.000
Sr 0.000 0.000 0.000
Mg 3.047 -2.155 3.732
Mg 3.047 4.309 0.000
Mg -3.047 2.155 3.732
Cl -1.524 1.077 5.598
Cl 4.461 -3.155 5.464
Cl 1.633 -1.155 2.000
Cl 4.571 3.232 1.866
Cl 4.461 6.309 0.000
Cl 1.633 2.309 0.000
Cl 4.571 0.000 3.732
Cl -1.524 4.309 3.732
Cl 1.524 -1.077 5.598
Cl -4.461 3.155 5.464
Cl 1.524 5.387 1.866
Cl -1.633 1.155 2.000
```

Calculated values
- Symmetry: No. 229
- Energy relative to the elements, uncorrected: -2.01 eV per atom
- Crystal system: cubic
- Density of states at the Fermi level: 0.00 states/eV per cell

(6)
NdSmDy6Y2: optimized geometry, GGA-PBE.

extended XYZ file:
```
20
Lattice="-1.294 3.756 -8.575 -8.075 -3.561 0.182 0.922 7.894 3.842" Properties=species:S:1:pos:R:3 pbc="T T T"
Nd -3.078 4.151 0.202
Nd -5.369 3.937 -4.754
Sm -8.085 -2.223 -1.834
Sm -0.362 10.312 -2.717
Dy -0.297 5.797 2.434
Dy -1.709 7.792 -0.341
Dy -8.151 2.292 -6.985
Dy -6.739 0.297 -4.211
Dy -7.955 1.153 -0.869
Dy -4.755 -1.193 -1.391
Dy -0.493 6.935 -3.682
Dy -3.693 9.282 -3.160
Dy -5.416 1.696 0.984
Dy -4.434 1.905 -2.082
Dy -3.032 6.393 -5.536
Dy -4.013 6.184 -2.470
Y -6.405 4.376 -1.013
Y -2.289 0.697 0.386
Y -2.043 3.712 -3.538
Y -6.158 7.392 -4.937
```

Calculated values
- Symmetry: No. 15
- Crystal system: monoclinic
- Formation energy: 0.127 eV/atom
- Density of states at the Fermi level: 30.11 states/eV per cell

(7)
ReRhN2F: optimized geometry, GGA-PBE.

extended XYZ file:
```
5
Lattice="-1.457 -3.662 -0.532 0.924 0.194 -3.863 3.526 -1.514 0.767" Properties=species:S:1:pos:R:3 pbc="T T T"
Re 1.496 -2.491 -1.814
N 0.462 0.097 -1.932
N -0.728 -1.831 -0.266
Rh 0.000 0.000 0.000
F 1.763 -0.757 0.383
```

Calculated values
- Symmetry: No. 123
- Energy relative to the elements, uncorrected: 1.42 eV per atom
- Crystal system: tetragonal
- Density of states at the Fermi level: 1.86 states/eV per cell

(8)
Gd3In5Te12: optimized geometry, GGA-PBE.

extended XYZ file:
```
80
Lattice="15.435 0.000 0.000 -5.145 14.552 0.000 -5.145 -7.276 12.603" Properties=species:S:1:pos:R:3 pbc="T T T"
Gd 9.004 4.548 1.575
Gd 9.004 10.005 1.575
Gd -1.286 6.367 7.877
Gd 1.286 -0.910 4.726
Gd 11.576 0.000 3.151
Gd 1.286 7.276 3.151
Gd 3.859 0.000 9.452
Gd -6.431 7.276 9.452
Gd 3.859 8.186 7.877
Gd 6.431 0.910 4.726
Gd -3.859 -2.729 11.027
Gd -3.859 2.729 11.027
In -1.286 3.638 3.151
In -2.572 7.276 0.000
In 0.000 0.000 0.000
In 3.859 2.729 1.575
In 5.145 -3.638 6.301
In 5.145 7.276 0.000
In -3.859 8.186 4.726
In 6.431 -4.548 11.027
In 6.431 6.367 4.726
In 1.286 -3.638 9.452
In 3.859 10.914 3.151
In 2.572 3.638 6.301
In 7.717 0.000 0.000
In -2.572 -3.638 6.301
In -1.286 0.910 7.877
In -1.286 11.824 1.575
In -5.145 3.638 6.301
In 9.004 -0.910 7.877
In 1.286 4.548 11.027
In 6.431 3.638 9.452
Te 10.185 1.583 0.583
Te 0.105 4.935 5.222
Te 11.383 3.314 3.538
Te 6.625 2.231 1.663
Te 1.902 5.570 8.482
Te 10.818 7.264 2.180
Te -1.093 8.359 5.201
Te -4.052 12.321 1.663
Te 0.670 8.982 8.482
Te 7.190 7.288 2.180
Te 7.822 3.925 4.639
Te 7.822 12.969 0.583
Te -4.475 6.492 6.884
Te 3.100 5.394 1.101
Te -5.250 10.627 4.639
Te 2.677 -2.341 7.381
Te -0.670 0.922 2.763
Te 3.100 9.170 1.080
Te 6.625 11.239 3.538
Te -0.528 5.382 1.080
Te -3.243 8.198 9.839
Te 3.665 6.193 5.201
Te 7.047 8.060 6.884
Te 5.673 -1.882 11.502
Te 1.480 1.083 7.402
Te -1.902 -0.784 5.718
Te -0.528 9.158 1.101
Te -1.480 -3.963 9.065
Te 8.388 -0.922 2.763
Te 5.673 1.894 11.523
Te 2.045 -1.894 11.523
Te 2.468 9.618 5.222
Te 5.815 6.354 9.839
Te 10.395 -3.351 7.964
Te 9.620 0.784 5.718
Te -2.677 -5.693 12.020
Te 2.045 1.882 11.502
Te 4.475 -1.706 4.121
Te -2.045 -0.012 10.422
Te -2.677 3.351 7.964
Te 9.197 -5.045 10.940
Te 6.238 -1.083 7.402
Te -1.480 5.045 10.940
Te -5.673 0.012 10.422
Te 3.243 1.706 4.121
Te -6.238 3.963 9.065
Te 5.040 2.341 7.381
Te -5.040 5.693 12.020
```

Calculated values
- Symmetry: No. 230
- Energy relative to the elements, uncorrected: -0.65 eV per atom
- Crystal system: cubic
- Density of states at the Fermi level: 27.52 states/eV per cell

Electronic total energy for the records above, in order: -31.59, -28.24, -48.08, -95.43, -72.30, -97.52, -31.23, -426.37 eV/cell